Entry 1:
Here is a relaxed La2RePt crystal from the Alexandria database. Energies are from PBE.

It has space group I-4m2 (No. 119), with a = 4.2703 Å, b = 4.2703 Å, c = 10.0697 Å, α = 90.00°, β = 90.00° and γ = 90.00°. The asymmetric unit holds La at (0.0000, 0.0000, 0.0000), La at (0.0000, 0.5000, 0.2500), Re at (0.0000, 0.0000, 0.5000) and Pt at (0.0000, 0.5000, 0.7500).

The calculation puts the density of states at the Fermi level at 1.14 states/eV per atom. Its total magnetic moment is 0.5 μB/cell. The value obtained for the formation energy is 0.00 eV/atom. The calculation puts the offset from the most stable computed form at 0.252 eV per atom.

Entry 2:
Here is a relaxed Ac2Sm3Dy4 crystal from the Alexandria database. Energies are from PBE.

It has space group C2/m (No. 12), with a = 19.2006 Å, b = 3.7160 Å, c = 9.7955 Å, α = 90.00°, β = 115.63° and γ = 90.00°. The asymmetric unit holds Ac at (0.1633, 0.0000, 0.0001), Sm at (0.0000, 0.5000, 0.0000), Sm at (0.1469, 0.5000, 0.6600), Dy at (0.0212, 0.0000, 0.3377) and Dy at (0.1855, 0.5000, 0.3412).

The calculation puts the density of states at the Fermi level at 1.39 states/eV per atom. Its total magnetic moment is 0.0 μB/cell. The value obtained for the formation energy is 0.02 eV/atom.